(1)
Here is crystalline Ac4YSb5 at its relaxed geometry from Alexandria. Energies are from PBE.

Results
**Magnetization**: 0.000 μB/atom
**Calculated total energy**: -55.29 eV/cell
**SG**: I4/m, No. 87
**Energy relative to the elements, uncorrected**: -1178 meV/atom

Unit cell a=8.1823 b=8.1823 c=8.1823 alpha=99.67 beta=99.67 gamma=131.62
Atoms (fractional coordinates):
1 Ac 0.0961 0.7001 0.7961
2 Ac 0.2999 0.0961 0.3960
3 Ac 0.7001 0.9039 0.6040
4 Ac 0.9039 0.2999 0.2039
5 Y 0.5000 0.5000 0.0000
6 Sb 0.0000 0.0000 0.0000
7 Sb 0.2121 0.4034 0.6155
8 Sb 0.4034 0.7879 0.1914
9 Sb 0.5966 0.2121 0.8086
10 Sb 0.7879 0.5966 0.3845

(2)
Here is crystalline Ac3YSb4 at its relaxed geometry from Alexandria. Energies are from PBE.

Results
**Magnetization**: 0.000 μB/atom
**Calculated total energy**: -89.34 eV/cell
**SG**: Cmmm, No. 65
**Energy relative to the elements, uncorrected**: -1174 meV/atom

Unit cell a=9.4080 b=13.2974 c=4.7104 alpha=90.00 beta=90.00 gamma=90.00
Atoms (fractional coordinates):
1 Ac 0.0000 0.0000 0.0000
2 Ac 0.2500 0.2500 0.5000
3 Ac 0.2500 0.7500 0.5000
4 Ac 0.5000 0.5000 0.0000
5 Ac 0.7500 0.2500 0.5000
6 Ac 0.7500 0.7500 0.5000
7 Y 0.0000 0.5000 0.0000
8 Y 0.5000 0.0000 0.0000
9 Sb 0.0000 0.2578 0.0000
10 Sb 0.0000 0.7422 0.0000
11 Sb 0.2353 0.5000 0.5000
12 Sb 0.2647 0.0000 0.5000
13 Sb 0.5000 0.2422 0.0000
14 Sb 0.5000 0.7578 0.0000
15 Sb 0.7353 0.0000 0.5000
16 Sb 0.7647 0.5000 0.5000

(3)
Here is crystalline AcY2Sb at its relaxed geometry from Alexandria. Energies are from PBE.

Results
**Magnetization**: 0.000 μB/atom
**Calculated total energy**: -68.31 eV/cell
**SG**: R-3m, No. 166
**Energy relative to the elements, uncorrected**: -403 meV/atom

Unit cell a=4.0813 b=4.0813 c=29.6973 alpha=90.00 beta=90.00 gamma=120.00
Atoms (fractional coordinates):
1 Ac 0.0000 0.0000 0.0000
2 Ac 0.3333 0.6667 0.6667
3 Ac 0.6667 0.3333 0.3333
4 Y 0.0000 0.0000 0.2301
5 Y 0.0000 0.0000 0.7699
6 Y 0.3333 0.6667 0.4365
7 Y 0.3333 0.6667 0.8968
8 Y 0.6667 0.3333 0.1032
9 Y 0.6667 0.3333 0.5635
10 Sb 0.0000 0.0000 0.5000
11 Sb 0.3333 0.6667 0.1667
12 Sb 0.6667 0.3333 0.8333

Q: Number 1 is which compound?
A: Ac4YSb5

Copy entry 3 word for word.
Here is crystalline AcY2Sb at its relaxed geometry from Alexandria. Energies are from PBE.

Results
**Magnetization**: 0.000 μB/atom
**Calculated total energy**: -68.31 eV/cell
**SG**: R-3m, No. 166
**Energy relative to the elements, uncorrected**: -403 meV/atom

Unit cell a=4.0813 b=4.0813 c=29.6973 alpha=90.00 beta=90.00 gamma=120.00
Atoms (fractional coordinates):
1 Ac 0.0000 0.0000 0.0000
2 Ac 0.3333 0.6667 0.6667
3 Ac 0.6667 0.3333 0.3333
4 Y 0.0000 0.0000 0.2301
5 Y 0.0000 0.0000 0.7699
6 Y 0.3333 0.6667 0.4365
7 Y 0.3333 0.6667 0.8968
8 Y 0.6667 0.3333 0.1032
9 Y 0.6667 0.3333 0.5635
10 Sb 0.0000 0.0000 0.5000
11 Sb 0.3333 0.6667 0.1667
12 Sb 0.6667 0.3333 0.8333